1.
Density functional theory data (PBE) for crystalline Nd2Cu3P4 at its relaxed geometry.

Summary:
- DFT total energy: -5.4889 eV per atom
- Energy of formation: -660 meV per atom

abc: 7.910 7.910 7.505
angles: 90.00 90.00 139.01
Atoms (fractional coordinates):
Nd 0.119 0.881 0.919
Nd 0.381 0.619 0.419
Nd 0.619 0.381 0.581
Nd 0.881 0.119 0.081
Cu 0.000 0.000 0.500
Cu 0.042 0.458 0.750
Cu 0.458 0.042 0.250
Cu 0.500 0.500 0.000
Cu 0.542 0.958 0.750
Cu 0.958 0.542 0.250
P 0.196 0.804 0.563
P 0.203 0.297 0.750
P 0.297 0.203 0.250
P 0.304 0.696 0.063
P 0.696 0.304 0.937
P 0.703 0.797 0.750
P 0.797 0.703 0.250
P 0.804 0.196 0.437

2.
Density functional theory data (PBE) for crystalline Nd3Cu6P5 at its relaxed geometry.

Summary:
- DFT total energy: -5.4147 eV per atom
- Energy of formation: -705 meV per atom

abc: 3.920 12.066 9.842
angles: 90.00 90.00 90.00
Atoms (fractional coordinates):
Nd 0.250 0.091 0.250
Nd 0.250 0.409 0.250
Nd 0.250 0.750 0.246
Nd 0.750 0.250 0.754
Nd 0.750 0.591 0.750
Nd 0.750 0.909 0.750
Cu 0.250 0.066 0.897
Cu 0.250 0.250 0.010
Cu 0.250 0.250 0.512
Cu 0.250 0.434 0.897
Cu 0.250 0.580 0.494
Cu 0.250 0.920 0.494
Cu 0.750 0.080 0.506
Cu 0.750 0.420 0.506
Cu 0.750 0.566 0.103
Cu 0.750 0.750 0.488
Cu 0.750 0.750 0.990
Cu 0.750 0.934 0.103
P 0.250 0.080 0.651
P 0.250 0.420 0.651
P 0.250 0.621 0.981
P 0.250 0.750 0.628
P 0.250 0.879 0.981
P 0.750 0.121 0.019
P 0.750 0.250 0.372
P 0.750 0.379 0.019
P 0.750 0.580 0.349
P 0.750 0.920 0.349

3.
Density functional theory data (PBE) for crystalline Nd2Cu2P3 at its relaxed geometry.

Summary:
- DFT total energy: -5.7798 eV per atom
- Energy of formation: -929 meV per atom

abc: 7.757 7.757 11.221
angles: 125.40 125.40 30.21
Atoms (fractional coordinates):
Nd 0.105 0.105 0.439
Nd 0.237 0.237 0.842
Nd 0.763 0.763 0.158
Nd 0.895 0.895 0.561
Cu 0.087 0.087 0.148
Cu 0.453 0.453 0.180
Cu 0.547 0.547 0.820
Cu 0.913 0.913 0.852
P 0.108 0.108 0.956
P 0.346 0.346 0.700
P 0.427 0.427 0.378
P 0.573 0.573 0.622
P 0.654 0.654 0.300
P 0.892 0.892 0.044

4.
Density functional theory data (PBE) for crystalline NdCu3P2 at its relaxed geometry.

Summary:
- DFT total energy: -5.2185 eV per atom
- Energy of formation: -573 meV per atom

abc: 7.628 7.628 7.384
angles: 115.66 115.66 29.83
Atoms (fractional coordinates):
Nd 0.142 0.142 0.051
Nd 0.858 0.858 0.949
Cu 0.053 0.053 0.393
Cu 0.313 0.313 0.566
Cu 0.401 0.401 0.339
Cu 0.599 0.599 0.661
Cu 0.687 0.687 0.434
Cu 0.947 0.947 0.607
P 0.200 0.200 0.706
P 0.485 0.485 0.799
P 0.515 0.515 0.201
P 0.800 0.800 0.294

5.
Density functional theory data (PBE) for crystalline NdCu4P2 at its relaxed geometry.

Summary:
- DFT total energy: -5.0924 eV per atom
- Energy of formation: -525 meV per atom

abc: 7.357 7.357 3.843
angles: 90.00 90.00 90.00
Atoms (fractional coordinates):
Nd 0.000 0.000 0.000
Nd 0.500 0.500 0.500
Cu 0.084 0.337 0.500
Cu 0.163 0.584 0.000
Cu 0.337 0.084 0.500
Cu 0.416 0.837 0.000
Cu 0.584 0.163 0.000
Cu 0.663 0.916 0.500
Cu 0.837 0.416 0.000
Cu 0.916 0.663 0.500
P 0.215 0.785 0.500
P 0.285 0.285 0.000
P 0.715 0.715 0.000
P 0.785 0.215 0.500

6.
Density functional theory data (PBE) for crystalline Nd2CuP3Pd4 at its relaxed geometry.

Summary:
- DFT total energy: -5.9255 eV per atom
- Energy of formation: -862 meV per atom

abc: 4.241 4.241 9.827
angles: 90.00 90.00 90.00
Atoms (fractional coordinates):
Nd 0.000 0.500 0.249
Nd 0.500 0.000 0.751
Cu 0.000 0.000 0.500
P 0.000 0.500 0.863
P 0.500 0.000 0.137
P 0.500 0.500 0.500
Pd 0.000 0.000 0.000
Pd 0.000 0.500 0.624
Pd 0.500 0.000 0.376
Pd 0.500 0.500 0.000

7.
Density functional theory data (PBE) for crystalline Nd2Cu3P4Pd at its relaxed geometry.

Summary:
- DFT total energy: -5.5965 eV per atom
- Energy of formation: -731 meV per atom

abc: 4.145 4.145 9.723
angles: 90.00 90.00 90.00
Atoms (fractional coordinates):
Nd 0.000 0.500 0.248
Nd 0.500 0.000 0.752
Cu 0.000 0.500 0.878
Cu 0.500 0.000 0.122
Cu 0.500 0.500 0.500
P 0.000 0.000 0.000
P 0.000 0.500 0.641
P 0.500 0.000 0.359
P 0.500 0.500 0.000
Pd 0.000 0.000 0.500

8.
Density functional theory data (PBE) for crystalline Nd2CuP3Pt4 at its relaxed geometry.

Summary:
- DFT total energy: -6.3150 eV per atom
- Energy of formation: -913 meV per atom

abc: 4.292 4.292 9.655
angles: 90.00 90.00 90.00
Atoms (fractional coordinates):
Nd 0.000 0.500 0.248
Nd 0.500 0.000 0.752
Cu 0.500 0.500 0.000
P 0.000 0.000 0.000
P 0.000 0.500 0.633
P 0.500 0.000 0.367
Pt 0.000 0.000 0.500
Pt 0.000 0.500 0.876
Pt 0.500 0.000 0.124
Pt 0.500 0.500 0.500

9.
Density functional theory data (PBE) for crystalline Nd2CuP3Rh4 at its relaxed geometry.

Summary:
- DFT total energy: -6.8958 eV per atom
- Energy of formation: -969 meV per atom

abc: 4.131 4.131 9.843
angles: 90.00 90.00 90.00
Atoms (fractional coordinates):
Nd 0.000 0.500 0.242
Nd 0.500 0.000 0.758
Cu 0.500 0.500 0.000
P 0.000 0.000 0.000
P 0.000 0.500 0.636
P 0.500 0.000 0.364
Rh 0.000 0.000 0.500
Rh 0.000 0.500 0.870
Rh 0.500 0.000 0.130
Rh 0.500 0.500 0.500

10.
Density functional theory data (PBE) for crystalline NdPaCu10 at its relaxed geometry.

Summary:
- DFT total energy: -4.6748 eV per atom
- Energy of formation: -73 meV per atom

abc: 4.107 5.096 8.760
angles: 90.00 90.00 90.00
Atoms (fractional coordinates):
Nd 0.000 0.000 0.000
Pa 0.000 0.500 0.500
Cu 0.000 0.000 0.337
Cu 0.000 0.000 0.663
Cu 0.000 0.500 0.171
Cu 0.000 0.500 0.829
Cu 0.500 0.000 0.500
Cu 0.500 0.255 0.257
Cu 0.500 0.255 0.743
Cu 0.500 0.500 0.000
Cu 0.500 0.745 0.257
Cu 0.500 0.745 0.743

11.
Density functional theory data (PBE) for crystalline Nd2PaCu at its relaxed geometry.

Summary:
- DFT total energy: -5.4003 eV per atom
- Energy of formation: 382 meV per atom

abc: 11.350 11.350 11.350
angles: 16.77 16.77 16.77
Atoms (fractional coordinates):
Nd 0.098 0.098 0.098
Nd 0.902 0.902 0.902
Pa 0.000 0.000 0.000
Cu 0.500 0.500 0.500

12.
Density functional theory data (PBE) for crystalline Nd2PaCu at its relaxed geometry.

Summary:
- DFT total energy: -5.6974 eV per atom
- Energy of formation: 85 meV per atom

abc: 3.496 3.496 8.526
angles: 90.00 90.00 90.00
Atoms (fractional coordinates):
Nd 0.000 0.000 0.219
Nd 0.000 0.000 0.781
Pa 0.500 0.500 0.500
Cu 0.500 0.500 0.000

13.
Density functional theory data (PBE) for crystalline NdPaCuRh at its relaxed geometry.

Summary:
- DFT total energy: -6.6478 eV per atom
- Energy of formation: -220 meV per atom

abc: 4.946 4.946 4.946
angles: 60.00 60.00 60.00
Atoms (fractional coordinates):
Nd 0.000 0.000 0.000
Pa 0.500 0.500 0.500
Cu 0.250 0.250 0.250
Rh 0.750 0.750 0.750

14.
Density functional theory data (PBE) for crystalline NdPaCuRu at its relaxed geometry.

Summary:
- DFT total energy: -6.9836 eV per atom
- Energy of formation: -75 meV per atom

abc: 4.926 4.926 4.926
angles: 60.00 60.00 60.00
Atoms (fractional coordinates):
Nd 0.000 0.000 0.000
Pa 0.500 0.500 0.500
Cu 0.250 0.250 0.250
Ru 0.750 0.750 0.750

15.
Density functional theory data (PBE) for crystalline Nd2PaCuS6 at its relaxed geometry.

Summary:
- DFT total energy: -6.0951 eV per atom
- Formation energy (no corrections): -1.31 eV per atom

abc: 6.520 6.520 6.030
angles: 90.00 90.00 90.00
Atoms (fractional coordinates):
Nd 0.000 0.500 0.000
Nd 0.500 0.000 0.000
Pa 0.000 0.000 0.605
Cu 0.500 0.500 0.543
S 0.000 0.000 0.156
S 0.264 0.264 0.725
S 0.264 0.736 0.725
S 0.500 0.500 0.175
S 0.736 0.264 0.725
S 0.736 0.736 0.725

16.
Density functional theory data (PBE) for crystalline Nd2PaCuSe5 at its relaxed geometry.

Summary:
- DFT total energy: -5.9368 eV per atom
- Formation energy (no corrections): -1.43 eV per atom

abc: 8.952 8.952 12.634
angles: 90.00 90.00 154.22
Atoms (fractional coordinates):
Nd 0.110 0.890 0.500
Nd 0.119 0.881 0.849
Nd 0.881 0.119 0.349
Nd 0.890 0.110 0.000
Pa 0.181 0.819 0.179
Pa 0.819 0.181 0.679
Cu 0.445 0.555 0.574
Cu 0.555 0.445 0.074
Se 0.020 0.980 0.172
Se 0.305 0.695 0.844
Se 0.311 0.689 0.513
Se 0.345 0.655 0.173
Se 0.497 0.503 0.902
Se 0.503 0.497 0.402
Se 0.655 0.345 0.673
Se 0.689 0.311 0.013
Se 0.695 0.305 0.344
Se 0.980 0.020 0.672

17.
Density functional theory data (PBE) for crystalline NdPaCuTc at its relaxed geometry.

Summary:
- DFT total energy: -7.1072 eV per atom
- Energy of formation: 74 meV per atom

abc: 4.937 4.937 4.937
angles: 60.00 60.00 60.00
Atoms (fractional coordinates):
Nd 0.000 0.000 0.000
Pa 0.500 0.500 0.500
Cu 0.750 0.750 0.750
Tc 0.250 0.250 0.250

18.
Density functional theory data (PBE) for crystalline Nd7Cu2Pb2 at its relaxed geometry.

Summary:
- DFT total energy: -4.5321 eV per atom
- Energy of formation: -79 meV per atom

abc: 7.203 7.203 7.115
angles: 90.00 90.00 108.93
Atoms (fractional coordinates):
Nd 0.000 0.000 0.000
Nd 0.000 0.500 0.258
Nd 0.000 0.500 0.742
Nd 0.500 0.000 0.258
Nd 0.500 0.000 0.742
Nd 0.500 0.500 0.230
Nd 0.500 0.500 0.770
Cu 0.286 0.714 0.000
Cu 0.714 0.286 0.000
Pb 0.181 0.181 0.500
Pb 0.819 0.819 0.500

19.
Density functional theory data (PBE) for crystalline Nd12Cu6Pb at its relaxed geometry.

Summary:
- DFT total energy: -4.6393 eV per atom
- Energy of formation: -139 meV per atom

abc: 8.872 8.872 8.872
angles: 109.47 109.47 109.47
Atoms (fractional coordinates):
Nd 0.113 0.301 0.812
Nd 0.188 0.489 0.301
Nd 0.188 0.887 0.699
Nd 0.301 0.188 0.489
Nd 0.301 0.812 0.113
Nd 0.489 0.301 0.188
Nd 0.511 0.699 0.812
Nd 0.699 0.188 0.887
Nd 0.699 0.812 0.511
Nd 0.812 0.113 0.301
Nd 0.812 0.511 0.699
Nd 0.887 0.699 0.188
Cu 0.121 0.500 0.621
Cu 0.379 0.879 0.500
Cu 0.500 0.379 0.879
Cu 0.500 0.621 0.121
Cu 0.621 0.121 0.500
Cu 0.879 0.500 0.379
Pb 0.000 0.000 0.000

20.
Density functional theory data (PBE) for crystalline Nd5Cu2Pb at its relaxed geometry.

Summary:
- DFT total energy: -4.7014 eV per atom
- Energy of formation: -234 meV per atom

abc: 8.867 8.867 8.867
angles: 124.60 124.60 82.20
Atoms (fractional coordinates):
Nd 0.000 0.000 0.000
Nd 0.012 0.512 0.807
Nd 0.205 0.012 0.500
Nd 0.295 0.795 0.807
Nd 0.488 0.295 0.500
Nd 0.500 0.500 0.000
Nd 0.512 0.705 0.500
Nd 0.705 0.205 0.193
Nd 0.795 0.988 0.500
Nd 0.988 0.488 0.193
Cu 0.130 0.370 0.500
Cu 0.370 0.870 0.239
Cu 0.630 0.130 0.761
Cu 0.870 0.630 0.500
Pb 0.250 0.250 0.000
Pb 0.750 0.750 0.000

21.
Density functional theory data (PBE) for crystalline NdCuPdPb at its relaxed geometry.

Summary:
- DFT total energy: -4.8717 eV per atom
- Energy of formation: -430 meV per atom

abc: 4.930 4.930 4.930
angles: 60.00 60.00 60.00
Atoms (fractional coordinates):
Nd 0.000 0.000 0.000
Cu 0.250 0.250 0.250
Pd 0.750 0.750 0.750
Pb 0.500 0.500 0.500